# AcYbMg2 PBE relaxed
data_AcYbMg2
_space_group_name_H-M_alt 'F m -3 m'
_space_group_IT_number 225
_space_group_name_Hall '-F 4 2 3'
_cell_length_a 8.0393
_cell_length_b 8.0393
_cell_length_c 8.0393
_cell_angle_alpha 90.00
_cell_angle_beta 90.00
_cell_angle_gamma 90.00
loop_
_atom_site_label
_atom_site_type_symbol
_atom_site_fract_x
_atom_site_fract_y
_atom_site_fract_z
Ac1 Ac 0.0000 0.0000 0.0000
Yb1 Yb 0.0000 0.0000 0.5000
Mg1 Mg 0.2500 0.2500 0.2500
# Total moment (Bohr magnetons per cell): 0.93
# Total DFT energy (no corrections) (eV/atom): -2.31
# ΔE_f (eV/atom): -0.1086